4
Lattice="4.904 0.000 0.000 0.000 4.904 0.000 0.000 0.000 4.840" Properties=species:S:1:pos:R:3 comment="Tb2GdPb (PBE-GGA, relaxed)" magnetic_moment_mub_per_fu=7.81 sg="P4/mmm, No. 123" dos_ef_per_ev_atom=1.313 mass_density_g_cm3=9.74 de_polymorph_mev_per_atom=0 pbc="T T T"
Tb 0.000 2.452 0.000
Tb 2.452 0.000 0.000
Gd 0.000 0.000 2.420
Pb 2.452 2.452 2.420